# 1
Compound: MgZn2Cu4
Source: Alexandria
Functional: PBE
Structure: optimized geometry

Results
- SG: No. 139
- Formation energy from the elements: 0.67 eV per atom

abc: 6.979 6.979 6.979
angles: 141.62 141.62 55.40
Fractional coordinates of all 7 atoms:
Mg: 0.000 0.000 0.000
Zn: 0.396 0.396 0.000
Zn: 0.604 0.604 0.000
Cu: 0.500 0.000 0.500
Cu: 0.000 0.500 0.500
Cu: 0.203 0.203 0.000
Cu: 0.797 0.797 0.000

---

# 2
Compound: MgZnCu
Source: Alexandria
Functional: PBE
Structure: optimized geometry

Results
- SG: No. 59
- Formation energy from the elements: 0.16 eV per atom

abc: 4.408 3.222 13.847
angles: 90.00 90.00 90.00
Fractional coordinates of all 12 atoms:
Zn: 0.256 0.750 0.659
Zn: 0.744 0.250 0.341
Zn: 0.744 0.250 0.159
Zn: 0.256 0.750 0.841
Mg: 0.750 0.750 0.989
Mg: 0.250 0.250 0.011
Mg: 0.250 0.250 0.489
Mg: 0.750 0.750 0.511
Cu: 0.242 0.750 0.339
Cu: 0.758 0.250 0.661
Cu: 0.758 0.250 0.839
Cu: 0.242 0.750 0.161

---

# 3
Compound: Mg2ZnCu3
Source: Alexandria
Functional: PBE
Structure: optimized geometry

Results
- SG: No. 166
- Formation energy from the elements: -0.19 eV per atom

abc: 4.993 4.993 4.993
angles: 60.78 60.78 60.78
Fractional coordinates of all 6 atoms:
Cu: 0.000 0.500 0.500
Cu: 0.500 0.500 0.000
Cu: 0.500 0.000 0.500
Mg: 0.876 0.876 0.876
Mg: 0.124 0.124 0.124
Zn: 0.500 0.500 0.500

---

# 4
Compound: Mg4Zn8Cu
Source: Alexandria
Functional: PBE
Structure: optimized geometry

Results
- SG: No. 139
- Formation energy from the elements: 0.11 eV per atom

abc: 6.844 6.844 6.844
angles: 107.26 107.26 113.99
Fractional coordinates of all 13 atoms:
Zn: 0.332 0.000 0.332
Zn: 0.668 0.000 0.668
Zn: 0.000 0.668 0.668
Zn: 0.000 0.332 0.332
Zn: 0.278 0.500 0.778
Zn: 0.722 0.500 0.222
Zn: 0.500 0.722 0.222
Zn: 0.500 0.278 0.778
Mg: 0.500 0.000 0.000
Mg: 0.000 0.500 0.000
Mg: 0.000 0.000 0.500
Mg: 0.500 0.500 0.500
Cu: 0.000 0.000 0.000